Record 1
{
  "formula": "CrSI2O",
  "functional": "PBEsol",
  "state": "optimized geometry",
  "cell": [[5.563, 0.000, 0.000], [0.000, 5.563, 0.000], [0.000, 0.000, 3.576]],
  "species": ["Cr", "S", "I", "I", "O"],
  "frac_coords": [[0.000, 0.000, 0.000], [0.500, 0.500, 0.500], [0.000, 0.500, 0.500], [0.500, 0.000, 0.500], [0.500, 0.500, 0.000]],
  "sg": "P4/mmm",
  "total_energy_ev_per_atom": -4.30
}

=====

Record 2
{
  "formula": "SrSbCl",
  "functional": "PBEsol",
  "state": "optimized geometry",
  "cell": [[0.000, 3.800, 3.800], [3.800, 0.000, 3.800], [3.800, 3.800, 0.000]],
  "species": ["Sr", "Sb", "Cl"],
  "frac_coords": [[0.000, 0.000, 0.000], [0.750, 0.750, 0.750], [0.500, 0.500, 0.500]],
  "sg": "F-43m",
  "total_energy_ev_per_atom": -3.24,
  "de_polymorph_ev_per_atom": 0.226
}

=====

Record 3
{
  "formula": "MgBe2Ru",
  "functional": "PBEsol",
  "state": "optimized geometry",
  "cell": [[-1.535, 1.890, 3.973], [1.535, -1.890, 3.973], [1.535, 1.890, -3.973]],
  "species": ["Mg", "Be", "Be", "Ru"],
  "frac_coords": [[0.000, 0.000, 0.000], [0.514, 0.514, 0.000], [0.734, 0.234, 0.500], [0.268, 0.768, 0.500]],
  "sg": "Imm2",
  "total_energy_ev_per_atom": -4.96,
  "ef_ev_per_atom": 0.017
}

=====

Record 4
{
  "formula": "Sr2MgOs",
  "functional": "PBEsol",
  "state": "optimized geometry",
  "cell": [[3.528, 0.000, 0.000], [0.000, 3.528, 0.000], [0.000, 0.000, 8.948]],
  "species": ["Sr", "Sr", "Mg", "Os"],
  "frac_coords": [[0.000, 0.000, 0.197], [0.000, 0.000, 0.803], [0.500, 0.500, 0.500], [0.500, 0.500, 0.000]],
  "sg": "P4/mmm",
  "total_energy_ev_per_atom": -3.87,
  "ef_ev_per_atom": 0.538
}

=====

Record 5
{
  "formula": "AgH3I",
  "functional": "PBEsol",
  "state": "optimized geometry",
  "cell": [[4.070, 0.000, 0.000], [0.000, 4.070, 0.000], [0.000, 0.000, 4.070]],
  "species": ["Ag", "H", "H", "H", "I"],
  "frac_coords": [[0.000, 0.000, 0.000], [0.000, 0.500, 0.500], [0.500, 0.000, 0.500], [0.500, 0.500, 0.000], [0.500, 0.500, 0.500]],
  "sg": "Pm-3m",
  "total_energy_ev_per_atom": -1.96,
  "de_polymorph_ev_per_atom": 0.273
}

=====

Record 6
{
  "formula": "Mn8Os",
  "functional": "PBEsol",
  "state": "optimized geometry",
  "cell": [[-3.723, 3.723, 1.751], [3.723, -3.723, 1.751], [3.723, 3.723, -1.751]],
  "species": ["Mn", "Mn", "Mn", "Mn", "Mn", "Mn", "Mn", "Mn", "Os"],
  "frac_coords": [[0.000, 0.339, 0.339], [0.000, 0.661, 0.661], [0.328, 0.328, 0.655], [0.328, 0.672, 0.000], [0.339, 0.000, 0.339], [0.661, 0.000, 0.661], [0.672, 0.328, 0.000], [0.672, 0.672, 0.345], [0.000, 0.000, 0.000]],
  "sg": "I4/mmm",
  "total_energy_ev_per_atom": -9.95,
  "ef_ev_per_atom": 0.089
}

=====

Record 7
{
  "formula": "Ce2MgZn",
  "functional": "PBEsol",
  "state": "optimized geometry",
  "cell": [[3.807, 0.000, 0.000], [0.000, 3.807, 0.000], [0.000, 0.000, 6.751]],
  "species": ["Ce", "Ce", "Mg", "Zn"],
  "frac_coords": [[0.000, 0.000, 0.207], [0.000, 0.000, 0.793], [0.500, 0.500, 0.500], [0.500, 0.500, 0.000]],
  "sg": "P4/mmm",
  "total_energy_ev_per_atom": -4.11,
  "ef_ev_per_atom": 0.008
}

=====

Record 8
{
  "formula": "ZrTlNi2",
  "functional": "PBEsol",
  "state": "optimized geometry",
  "cell": [[-1.839, 2.075, 4.150], [1.839, -2.075, 4.150], [1.839, 2.075, -4.150]],
  "species": ["Zr", "Tl", "Ni", "Ni"],
  "frac_coords": [[0.000, 0.000, 0.000], [0.263, 0.763, 0.500], [0.515, 0.515, 0.000], [0.753, 0.253, 0.500]],
  "sg": "Imm2",
  "total_energy_ev_per_atom": -6.06,
  "ef_ev_per_atom": -0.047
}

=====

Record 9
{
  "formula": "BeCuAgAs2",
  "functional": "PBEsol",
  "state": "optimized geometry",
  "cell": [[4.901, 0.000, 0.000], [0.000, 4.901, 0.000], [0.000, 0.000, 4.231]],
  "species": ["Be", "Cu", "Ag", "As", "As"],
  "frac_coords": [[0.000, 0.000, 0.000], [0.500, 0.500, 0.000], [0.000, 0.000, 0.500], [0.000, 0.500, 0.500], [0.500, 0.000, 0.500]],
  "sg": "P4/mmm",
  "total_energy_ev_per_atom": -3.23,
  "ef_ev_per_atom": 1.144
}

=====

Record 10
{
  "formula": "RbTeH3",
  "functional": "PBEsol",
  "state": "optimized geometry",
  "cell": [[4.362, 0.000, 0.000], [0.000, 4.362, 0.000], [0.000, 0.000, 4.362]],
  "species": ["Rb", "Te", "H", "H", "H"],
  "frac_coords": [[0.000, 0.000, 0.000], [0.500, 0.500, 0.500], [0.000, 0.500, 0.500], [0.500, 0.000, 0.500], [0.500, 0.500, 0.000]],
  "sg": "Pm-3m",
  "total_energy_ev_per_atom": -2.71
}

=====

Record 11
{
  "formula": "La3ScSn",
  "functional": "PBEsol",
  "state": "optimized geometry",
  "cell": [[5.962, 0.000, 0.000], [0.000, 5.962, 0.000], [0.000, 0.000, 5.962]],
  "species": ["La", "La", "La", "Sc", "Sn"],
  "frac_coords": [[0.000, 0.000, 0.500], [0.000, 0.500, 0.000], [0.500, 0.000, 0.000], [0.500, 0.500, 0.500], [0.000, 0.000, 0.000]],
  "sg": "Pm-3m",
  "total_energy_ev_per_atom": -4.99,
  "ef_ev_per_atom": 0.395
}

=====

Record 12
{
  "formula": "KCd2As2",
  "functional": "PBEsol",
  "state": "optimized geometry",
  "cell": [[-2.231, 2.231, 6.149], [2.231, -2.231, 6.149], [2.231, 2.231, -6.149]],
  "species": ["K", "Cd", "Cd", "As", "As"],
  "frac_coords": [[0.000, 0.000, 0.000], [0.250, 0.750, 0.500], [0.750, 0.250, 0.500], [0.383, 0.383, 0.000], [0.617, 0.617, 0.000]],
  "sg": "I4/mmm",
  "total_energy_ev_per_atom": -3.00,
  "ef_ev_per_atom": -0.248
}